Record 1
Below is crystalline TcTe2Ir at its relaxed geometry, with properties calculated at the PBE level.

Geometry as POSCAR:
```
TcTe2Ir
1.0
3.333 -7.148 3.505
1.983 -8.390 0.401
5.240 -6.843 0.460
Ir Te Tc
1 2 1
Direct
0.500 0.500 0.500
0.899 0.899 0.899
0.101 0.101 0.101
0.000 0.000 0.000
```

Record 2
Below is crystalline TcTeIr at its relaxed geometry, with properties calculated at the PBE level.

Geometry as POSCAR:
```
TcTeIr
1.0
4.361 0.000 0.000
-2.181 3.777 0.000
0.000 0.000 3.155
Ir Tc Te
1 1 1
Direct
0.000 0.000 0.929
0.667 0.333 0.409
0.333 0.667 0.663
```

Record 3
Below is crystalline TcTe2Ir at its relaxed geometry, with properties calculated at the PBE level.

Geometry as POSCAR:
```
TcTe2Ir
1.0
7.546 -0.161 0.011
5.606 5.054 -0.011
-6.539 -2.547 2.780
Ir Tc Te
1 1 2
Direct
0.750 0.250 0.500
0.250 0.750 0.500
0.883 0.883 0.000
0.617 0.617 0.000
```

Record 4
Below is crystalline TcTe2Ir at its relaxed geometry, with properties calculated at the PBE level.

Geometry as POSCAR:
```
TcTe2Ir
1.0
5.936 0.000 0.000
0.000 5.936 0.000
2.968 2.968 5.930
Ir Te Tc
2 4 2
Direct
0.000 0.000 0.000
0.750 0.250 0.500
0.625 0.125 0.250
0.125 0.625 0.250
0.375 0.375 0.750
0.875 0.875 0.750
0.500 0.500 0.000
0.250 0.750 0.500
```

Record 5
Below is crystalline TcTe3Ir at its relaxed geometry, with properties calculated at the PBE level.

Geometry as POSCAR:
```
TcTe3Ir
1.0
-0.909 -0.134 -5.157
5.068 -1.001 -0.867
-0.963 -5.140 0.304
Ir Te Tc
1 3 1
Direct
0.000 0.000 0.000
0.000 0.500 0.000
0.000 0.000 0.500
0.500 0.000 0.000
0.500 0.500 0.500
```

Record 6
Below is crystalline TcTe2Ir at its relaxed geometry, with properties calculated at the PBE level.

Geometry as POSCAR:
```
TcTe2Ir
1.0
4.636 0.000 0.000
0.000 3.048 0.021
0.000 -0.004 5.499
Ir Tc Te
1 1 2
Direct
0.500 0.250 0.250
0.500 0.750 0.750
0.000 0.988 0.003
0.000 0.512 0.497
```

Taking the records one at a time from the top gives energy relative to the elements, uncorrected values of 0.699 0.526 0.159 0.411 1.138 0.842 eV per atom.
Taking the records one at a time from the top gives E above lowest polymorph values of 16.77 13.03 4.32 10.15 0.00 20.07 kcal/mol of atoms.